1.
Density functional theory data (GGA-PBE) for K2RbNaPt after structural relaxation.

Output
**Size of the total moment**: 0.0 μB/cell
**Space-group type**: P4/mmm (123)
**Energy of formation from the pure elements**: 55 meV/atom
**Total DFT energy (no corrections)**: -2.049 eV/atom

a = 6.297 Å, b = 6.297 Å, c = 6.537 Å
α = 90.00°, β = 90.00°, γ = 90.00°
Positions (direct):
K (0.000, 0.500, 0.000)
K (0.500, 0.000, 0.000)
Rb (0.000, 0.000, 0.500)
Na (0.500, 0.500, 0.500)
Pt (0.000, 0.000, 0.000)


2.
Density functional theory data (GGA-PBE) for K2RbNaPt after structural relaxation.

Output
**Size of the total moment**: 0.0 μB/cell
**Space-group type**: P4/mmm (123)
**Energy of formation from the pure elements**: 46 meV/atom
**Total DFT energy (no corrections)**: -2.058 eV/atom

a = 6.347 Å, b = 6.347 Å, c = 5.829 Å
α = 90.00°, β = 90.00°, γ = 90.00°
Positions (direct):
K (0.000, 0.500, 0.000)
K (0.500, 0.000, 0.000)
Rb (0.000, 0.000, 0.500)
Na (0.500, 0.500, 0.500)
Pt (0.500, 0.500, 0.000)


3.
Density functional theory data (GGA-PBE) for KNa2RuPt after structural relaxation.

Output
**Size of the total moment**: 2.2 μB/cell
**Space-group type**: P4/mmm (123)
**Energy of formation from the pure elements**: 1505 meV/atom
**Total DFT energy (no corrections)**: -2.305 eV/atom

a = 4.931 Å, b = 4.931 Å, c = 5.241 Å
α = 90.00°, β = 90.00°, γ = 90.00°
Positions (direct):
K (0.000, 0.000, 0.000)
Na (0.000, 0.500, 0.000)
Na (0.500, 0.000, 0.000)
Ru (0.500, 0.500, 0.500)
Pt (0.000, 0.000, 0.500)


4.
Density functional theory data (GGA-PBE) for KNaPtS2 after structural relaxation.

Output
**E_form (uncorrected)**: 518 meV per atom
**Size of the total moment**: 2.1 μB/cell
**Space-group type**: P4/mmm (123)
**Total DFT energy (no corrections)**: -2.825 eV/atom

a = 5.133 Å, b = 5.133 Å, c = 5.020 Å
α = 90.00°, β = 90.00°, γ = 90.00°
Positions (direct):
K (0.000, 0.000, 0.000)
Na (0.500, 0.500, 0.500)
Pt (0.500, 0.500, 0.000)
S (0.000, 0.500, 0.500)
S (0.500, 0.000, 0.500)


5.
Density functional theory data (GGA-PBE) for KNa2PtS after structural relaxation.

Output
**E_form (uncorrected)**: -212 meV per atom
**Size of the total moment**: 0.5 μB/cell
**Space-group type**: P4/mmm (123)
**Total DFT energy (no corrections)**: -2.993 eV/atom

a = 5.892 Å, b = 5.892 Å, c = 4.985 Å
α = 90.00°, β = 90.00°, γ = 90.00°
Positions (direct):
K (0.000, 0.000, 0.000)
Na (0.000, 0.500, 0.500)
Na (0.500, 0.000, 0.500)
Pt (0.500, 0.500, 0.500)
S (0.500, 0.500, 0.000)


6.
Density functional theory data (GGA-PBE) for KNaSbPt after structural relaxation.

Output
**E_form (uncorrected)**: -412 meV per atom
**Size of the total moment**: 0.0 μB/cell
**Space-group type**: Cm (8)
**Total DFT energy (no corrections)**: -3.557 eV/atom

a = 4.648 Å, b = 4.648 Å, c = 6.616 Å
α = 110.57°, β = 110.57°, γ = 60.51°
Positions (direct):
K (0.000, 0.000, 0.000)
Na (0.788, 0.788, 0.371)
Sb (0.543, 0.543, 0.632)
Pt (0.197, 0.197, 0.599)


7.
Density functional theory data (GGA-PBE) for K2NaSiPt after structural relaxation.

Output
**E_form (uncorrected)**: -80 meV per atom
**Size of the total moment**: 0.0 μB/cell
**Space-group type**: P4/mmm (123)
**Total DFT energy (no corrections)**: -3.075 eV/atom

a = 6.346 Å, b = 6.346 Å, c = 4.592 Å
α = 90.00°, β = 90.00°, γ = 90.00°
Positions (direct):
K (0.000, 0.500, 0.000)
K (0.500, 0.000, 0.000)
Na (0.000, 0.000, 0.500)
Si (0.500, 0.500, 0.500)
Pt (0.500, 0.500, 0.000)


8.
Density functional theory data (GGA-PBE) for KNa2SiPt after structural relaxation.

Output
**E_form (uncorrected)**: -135 meV per atom
**Size of the total moment**: 0.0 μB/cell
**Space-group type**: P4/mmm (123)
**Total DFT energy (no corrections)**: -3.174 eV/atom

a = 5.575 Å, b = 5.575 Å, c = 4.595 Å
α = 90.00°, β = 90.00°, γ = 90.00°
Positions (direct):
K (0.000, 0.000, 0.000)
Na (0.000, 0.500, 0.500)
Na (0.500, 0.000, 0.500)
Si (0.500, 0.500, 0.500)
Pt (0.500, 0.500, 0.000)


9.
Density functional theory data (GGA-PBE) for KNa2SiPt after structural relaxation.

Output
**E_form (uncorrected)**: -228 meV per atom
**Size of the total moment**: 0.0 μB/cell
**Space-group type**: P4/mmm (123)
**Total DFT energy (no corrections)**: -3.268 eV/atom

a = 5.585 Å, b = 5.585 Å, c = 4.607 Å
α = 90.00°, β = 90.00°, γ = 90.00°
Positions (direct):
K (0.000, 0.000, 0.000)
Na (0.000, 0.500, 0.500)
Na (0.500, 0.000, 0.500)
Si (0.500, 0.500, 0.000)
Pt (0.500, 0.500, 0.500)


10.
Density functional theory data (GGA-PBE) for K2NaSnPt after structural relaxation.

Output
**Size of the total moment**: 0.0 μB/cell
**Space-group type**: P4/mmm (123)
**Energy of formation from the pure elements**: -125 meV/atom
**Total DFT energy (no corrections)**: -2.837 eV/atom

a = 6.237 Å, b = 6.237 Å, c = 5.123 Å
α = 90.00°, β = 90.00°, γ = 90.00°
Positions (direct):
K (0.000, 0.500, 0.000)
K (0.500, 0.000, 0.000)
Na (0.000, 0.000, 0.500)
Sn (0.500, 0.500, 0.500)
Pt (0.500, 0.500, 0.000)


11.
Density functional theory data (GGA-PBE) for KNa2SrPt after structural relaxation.

Output
**Size of the total moment**: 0.0 μB/cell
**Space-group type**: P4/mmm (123)
**Energy of formation from the pure elements**: -130 meV/atom
**Total DFT energy (no corrections)**: -2.422 eV/atom

a = 5.869 Å, b = 5.869 Å, c = 5.748 Å
α = 90.00°, β = 90.00°, γ = 90.00°
Positions (direct):
K (0.000, 0.000, 0.000)
Na (0.000, 0.500, 0.500)
Na (0.500, 0.000, 0.500)
Sr (0.500, 0.500, 0.000)
Pt (0.500, 0.500, 0.500)


12.
Density functional theory data (GGA-PBE) for KNaTl3Pt after structural relaxation.

Output
**Size of the total moment**: 0.0 μB/cell
**Space-group type**: Cmcm (63)
**Energy of formation from the pure elements**: -49 meV/atom
**Total DFT energy (no corrections)**: -2.642 eV/atom

a = 7.738 Å, b = 7.738 Å, c = 6.977 Å
α = 90.00°, β = 90.00°, γ = 114.83°
Positions (direct):
K (0.197, 0.803, 0.750)
K (0.803, 0.197, 0.250)
Na (0.443, 0.557, 0.750)
Na (0.557, 0.443, 0.250)
Tl (0.213, 0.213, 0.000)
Tl (0.213, 0.213, 0.500)
Tl (0.314, 0.686, 0.250)
Tl (0.686, 0.314, 0.750)
Tl (0.787, 0.787, 0.000)
Tl (0.787, 0.787, 0.500)
Pt (0.103, 0.897, 0.250)
Pt (0.897, 0.103, 0.750)


13.
Density functional theory data (GGA-PBE) for KNaTl2Pt after structural relaxation.

Output
**Size of the total moment**: 0.0 μB/cell
**Space-group type**: P4/mmm (123)
**Energy of formation from the pure elements**: -155 meV/atom
**Total DFT energy (no corrections)**: -2.793 eV/atom

a = 5.341 Å, b = 5.341 Å, c = 5.682 Å
α = 90.00°, β = 90.00°, γ = 90.00°
Positions (direct):
K (0.000, 0.000, 0.000)
Na (0.500, 0.500, 0.000)
Tl (0.000, 0.500, 0.500)
Tl (0.500, 0.000, 0.500)
Pt (0.500, 0.500, 0.500)


14.
Density functional theory data (GGA-PBE) for KNa2TlPt after structural relaxation.

Output
**Size of the total moment**: 0.0 μB/cell
**Space-group type**: P4/mmm (123)
**Energy of formation from the pure elements**: -142 meV/atom
**Total DFT energy (no corrections)**: -2.571 eV/atom

a = 5.648 Å, b = 5.648 Å, c = 5.284 Å
α = 90.00°, β = 90.00°, γ = 90.00°
Positions (direct):
K (0.000, 0.000, 0.000)
Na (0.000, 0.500, 0.500)
Na (0.500, 0.000, 0.500)
Tl (0.500, 0.500, 0.000)
Pt (0.500, 0.500, 0.500)


15.
Density functional theory data (GGA-PBE) for K2NaTl6Pt after structural relaxation.

Output
**Size of the total moment**: 0.0 μB/cell
**Space-group type**: P-3m1 (164)
**Energy of formation from the pure elements**: -76 meV/atom
**Total DFT energy (no corrections)**: -2.452 eV/atom

a = 7.667 Å, b = 7.667 Å, c = 6.447 Å
α = 90.00°, β = 90.00°, γ = 120.00°
Positions (direct):
K (0.333, 0.667, 0.322)
K (0.667, 0.333, 0.678)
Na (0.000, 0.000, 0.500)
Tl (0.192, 0.383, 0.808)
Tl (0.192, 0.808, 0.808)
Tl (0.383, 0.192, 0.192)
Tl (0.617, 0.808, 0.808)
Tl (0.808, 0.192, 0.192)
Tl (0.808, 0.617, 0.192)
Pt (0.000, 0.000, 0.000)


16.
Density functional theory data (GGA-PBE) for K2NaTlPt after structural relaxation.

Output
**Size of the total moment**: 0.0 μB/cell
**Space-group type**: P4/mmm (123)
**Energy of formation from the pure elements**: -53 meV/atom
**Total DFT energy (no corrections)**: -2.438 eV/atom

a = 6.255 Å, b = 6.255 Å, c = 5.308 Å
α = 90.00°, β = 90.00°, γ = 90.00°
Positions (direct):
K (0.000, 0.500, 0.000)
K (0.500, 0.000, 0.000)
Na (0.000, 0.000, 0.500)
Tl (0.500, 0.500, 0.500)
Pt (0.500, 0.500, 0.000)


17.
Density functional theory data (GGA-PBE) for KNaTl2Pt after structural relaxation.

Output
**Size of the total moment**: 0.0 μB/cell
**Space-group type**: Imm2 (44)
**Energy of formation from the pure elements**: -132 meV/atom
**Total DFT energy (no corrections)**: -2.770 eV/atom

a = 7.471 Å, b = 7.471 Å, c = 7.471 Å
α = 144.99°, β = 141.12°, γ = 53.31°
Positions (direct):
K (0.000, 0.000, 0.000)
Na (0.213, 0.713, 0.500)
Tl (0.391, 0.391, 0.000)
Tl (0.718, 0.218, 0.500)
Pt (0.594, 0.594, 0.000)


18.
Density functional theory data (GGA-PBE) for KNaTl2Pt after structural relaxation.

Output
**Size of the total moment**: 0.0 μB/cell
**Space-group type**: P4/mmm (123)
**Energy of formation from the pure elements**: -57 meV/atom
**Total DFT energy (no corrections)**: -2.695 eV/atom

a = 5.359 Å, b = 5.359 Å, c = 6.123 Å
α = 90.00°, β = 90.00°, γ = 90.00°
Positions (direct):
K (0.000, 0.000, 0.000)
Na (0.500, 0.500, 0.000)
Tl (0.000, 0.500, 0.500)
Tl (0.500, 0.000, 0.500)
Pt (0.000, 0.000, 0.500)


19.
Density functional theory data (GGA-PBE) for KNa2ZnPt after structural relaxation.

Output
**Size of the total moment**: 0.0 μB/cell
**Space-group type**: P4/mmm (123)
**Energy of formation from the pure elements**: -92 meV/atom
**Total DFT energy (no corrections)**: -2.302 eV/atom

a = 5.558 Å, b = 5.558 Å, c = 4.958 Å
α = 90.00°, β = 90.00°, γ = 90.00°
Positions (direct):
K (0.000, 0.000, 0.000)
Na (0.000, 0.500, 0.500)
Na (0.500, 0.000, 0.500)
Zn (0.500, 0.500, 0.000)
Pt (0.500, 0.500, 0.500)


20.
Density functional theory data (GGA-PBE) for K2NaZnPt after structural relaxation.

Output
**Size of the total moment**: 0.0 μB/cell
**Space-group type**: P4/mmm (123)
**Energy of formation from the pure elements**: -13 meV/atom
**Total DFT energy (no corrections)**: -2.179 eV/atom

a = 6.296 Å, b = 6.296 Å, c = 4.891 Å
α = 90.00°, β = 90.00°, γ = 90.00°
Positions (direct):
K (0.000, 0.500, 0.000)
K (0.500, 0.000, 0.000)
Na (0.000, 0.000, 0.500)
Zn (0.500, 0.500, 0.500)
Pt (0.500, 0.500, 0.000)